(1)
# PBE-GGA YTmOs4, optimized geometry
# Energy of formation   -292 meV per atom
# Magnetization   0.000 μB per atom
# Raw total energy   -9.601 eV per atom
data_YTmOs4
_chemical_formula_sum 'Y1 Tm1 Os4'
_cell_length_a 5.3429
_cell_length_b 5.3429
_cell_length_c 5.3429
_cell_angle_alpha 60.00
_cell_angle_beta 60.00
_cell_angle_gamma 60.00
_space_group_name_H-M_alt 'P 1'
_space_group_IT_number 1
_space_group_name_Hall 'P 1'
loop_
_atom_site_label
_atom_site_fract_x
_atom_site_fract_y
_atom_site_fract_z
Y1 0.0000 0.0000 0.0000
Tm1 0.2500 0.2500 0.2500
Os1 0.1253 0.6249 0.6249
Os2 0.6249 0.1253 0.6249
Os3 0.6249 0.6249 0.1253
Os4 0.6249 0.6249 0.6249


(2)
# PBE-GGA YTmOs, optimized geometry
# Energy of formation   -135 meV per atom
# Magnetization   0.000 μB per atom
# Relative energy among the computed polymorphs   120 meV/atom
# Raw total energy   -7.523 eV per atom
data_YTmOs
_chemical_formula_sum 'Y2 Tm2 Os2'
_cell_length_a 8.1201
_cell_length_b 8.1201
_cell_length_c 5.1311
_cell_angle_alpha 90.00
_cell_angle_beta 90.00
_cell_angle_gamma 155.33
_space_group_name_H-M_alt 'P 1'
_space_group_IT_number 1
_space_group_name_Hall 'P 1'
loop_
_atom_site_label
_atom_site_fract_x
_atom_site_fract_y
_atom_site_fract_z
Y1 0.0719 0.9281 0.7500
Y2 0.9281 0.0719 0.2500
Tm1 0.2104 0.7896 0.2500
Tm2 0.7896 0.2104 0.7500
Os1 0.4242 0.5758 0.7500
Os2 0.5758 0.4242 0.2500


(3)
# PBE-GGA YTmOs, optimized geometry
# Energy of formation   -215 meV per atom
# Magnetization   0.000 μB per atom
# Relative energy among the computed polymorphs   40 meV/atom
# Raw total energy   -7.603 eV per atom
data_YTmOs
_chemical_formula_sum 'Y1 Tm1 Os1'
_cell_length_a 4.7578
_cell_length_b 4.7578
_cell_length_c 4.7578
_cell_angle_alpha 60.00
_cell_angle_beta 60.00
_cell_angle_gamma 60.00
_space_group_name_H-M_alt 'P 1'
_space_group_IT_number 1
_space_group_name_Hall 'P 1'
loop_
_atom_site_label
_atom_site_fract_x
_atom_site_fract_y
_atom_site_fract_z
Y1 0.0000 0.0000 0.0000
Tm1 0.5000 0.5000 0.5000
Os1 0.7500 0.7500 0.7500


(4)
# PBE-GGA YTmOs, optimized geometry
# Energy of formation   -74 meV per atom
# Magnetization   0.000 μB per atom
# Relative energy among the computed polymorphs   180 meV/atom
# Raw total energy   -7.463 eV per atom
data_YTmOs
_chemical_formula_sum 'Y2 Tm2 Os2'
_cell_length_a 4.7901
_cell_length_b 4.7901
_cell_length_c 6.6739
_cell_angle_alpha 90.00
_cell_angle_beta 90.00
_cell_angle_gamma 90.00
_space_group_name_H-M_alt 'P 1'
_space_group_IT_number 1
_space_group_name_Hall 'P 1'
loop_
_atom_site_label
_atom_site_fract_x
_atom_site_fract_y
_atom_site_fract_z
Y1 0.0000 0.5000 0.0000
Y2 0.5000 0.0000 0.5000
Tm1 0.0000 0.5000 0.5000
Tm2 0.5000 0.0000 0.0000
Os1 0.0000 0.0000 0.2500
Os2 0.0000 0.0000 0.7500


(5)
# PBE-GGA YTm4Os2, optimized geometry
# Energy of formation   -230 meV per atom
# Magnetization   0.000 μB per atom
# Raw total energy   -6.917 eV per atom
data_YTm4Os2
_chemical_formula_sum 'Y2 Tm8 Os4'
_cell_length_a 7.7006
_cell_length_b 6.1962
_cell_length_c 7.8857
_cell_angle_alpha 90.00
_cell_angle_beta 112.13
_cell_angle_gamma 90.00
_space_group_name_H-M_alt 'P 1'
_space_group_IT_number 1
_space_group_name_Hall 'P 1'
loop_
_atom_site_label
_atom_site_fract_x
_atom_site_fract_y
_atom_site_fract_z
Y1 0.0231 0.2500 0.1595
Y2 0.9769 0.7500 0.8405
Tm1 0.2400 0.5012 0.5802
Tm2 0.2400 0.9988 0.5802
Tm3 0.3281 0.7500 0.2535
Tm4 0.3808 0.2500 0.0195
Tm5 0.6192 0.7500 0.9805
Tm6 0.6719 0.2500 0.7465
Tm7 0.7600 0.0012 0.4198
Tm8 0.7600 0.4988 0.4198
Os1 0.0265 0.2500 0.7426
Os2 0.4160 0.2500 0.3759
Os3 0.5840 0.7500 0.6241
Os4 0.9735 0.7500 0.2574


(6)
# PBE-GGA YTmZnOs, optimized geometry
# Energy of formation   -298 meV per atom
# Magnetization   0.000 μB per atom
# Raw total energy   -6.158 eV per atom
data_YTmZnOs
_chemical_formula_sum 'Y1 Tm1 Zn1 Os1'
_cell_length_a 4.8817
_cell_length_b 4.8817
_cell_length_c 4.8817
_cell_angle_alpha 60.00
_cell_angle_beta 60.00
_cell_angle_gamma 60.00
_space_group_name_H-M_alt 'P 1'
_space_group_IT_number 1
_space_group_name_Hall 'P 1'
loop_
_atom_site_label
_atom_site_fract_x
_atom_site_fract_y
_atom_site_fract_z
Y1 0.0000 0.0000 0.0000
Tm1 0.5000 0.5000 0.5000
Zn1 0.2500 0.2500 0.2500
Os1 0.7500 0.7500 0.7500


(7)
# PBE-GGA Tm4Zn3Os, optimized geometry
# Energy of formation   -361 meV per atom
# Magnetization   0.000 μB per atom
# Raw total energy   -4.478 eV per atom
data_Tm4Zn3Os
_chemical_formula_sum 'Tm4 Zn3 Os1'
_cell_length_a 3.4542
_cell_length_b 3.4542
_cell_length_c 14.1725
_cell_angle_alpha 90.00
_cell_angle_beta 90.00
_cell_angle_gamma 90.00
_space_group_name_H-M_alt 'P 1'
_space_group_IT_number 1
_space_group_name_Hall 'P 1'
loop_
_atom_site_label
_atom_site_fract_x
_atom_site_fract_y
_atom_site_fract_z
Tm1 0.0000 0.0000 0.1132
Tm2 0.0000 0.0000 0.3736
Tm3 0.0000 0.0000 0.6264
Tm4 0.0000 0.0000 0.8868
Zn1 0.5000 0.5000 0.2486
Zn2 0.5000 0.5000 0.5000
Zn3 0.5000 0.5000 0.7514
Os1 0.5000 0.5000 0.0000


(8)
# PBE-GGA Tm8ZnOs2, optimized geometry
# Energy of formation   -193 meV per atom
# Magnetization   0.000 μB per atom
# Raw total energy   -5.602 eV per atom
data_Tm8ZnOs2
_chemical_formula_sum 'Tm8 Zn1 Os2'
_cell_length_a 7.6777
_cell_length_b 7.6777
_cell_length_c 5.4358
_cell_angle_alpha 98.08
_cell_angle_beta 98.08
_cell_angle_gamma 111.89
_space_group_name_H-M_alt 'P 1'
_space_group_IT_number 1
_space_group_name_Hall 'P 1'
loop_
_atom_site_label
_atom_site_fract_x
_atom_site_fract_y
_atom_site_fract_z
Tm1 0.0000 0.0000 0.0000
Tm2 0.0455 0.3121 0.6095
Tm3 0.1353 0.6179 0.1961
Tm4 0.3121 0.0455 0.6095
Tm5 0.4411 0.7076 0.7827
Tm6 0.6179 0.1353 0.1961
Tm7 0.7076 0.4411 0.7827
Tm8 0.7535 0.7535 0.3922
Zn1 0.3767 0.3767 0.1946
Os1 0.0617 0.6916 0.6961
Os2 0.6916 0.0617 0.6961


Q: Look up the raw total energy of the fourth one.
A: -7.463 eV per atom


Q: What is the energy of formation in the seventh record?
A: -361 meV per atom